ZnInCuF6 (PBE-GGA, optimized geometry); density = 4.9 Mg/m³; ΔE_f (raw) = -2.0375 eV per atom; uncorrected energy = -75.3 eV per cell; symmetry = P-31c (163)
1.0
5.515 0.000 0.000
-2.758 4.776 0.000
0.000 0.000 9.224
F In Zn Cu
12 2 2 2
Cartesian
0.924 1.671 3.402 F
1.772 3.141 1.210 F
-1.772 3.141 3.402 F
-0.924 1.671 1.210 F
3.681 3.105 8.014 F
3.606 0.036 8.014 F
4.530 1.636 5.822 F
0.986 1.636 8.014 F
0.848 4.741 3.402 F
1.909 0.036 5.822 F
-0.848 4.741 1.210 F
1.834 3.105 5.822 F
2.758 1.592 2.306 In
0.000 3.184 6.918 In
2.758 1.592 6.918 Zn
0.000 3.184 2.306 Zn
0.000 0.000 4.612 Cu
0.000 0.000 0.000 Cu